Record 1
# PBE HoTiBeIr2, optimized geometry
# Total DFT energy (no corrections) (eV for the cell shown): -74.828
# Energy of formation from the pure elements (kJ per mole of atoms): -67.41
data_HoTiBeIr2
_chemical_formula_sum 'Ho2 Ti2 Be2 Ir4'
_cell_length_a 3.870
_cell_length_b 3.870
_cell_length_c 11.484
_cell_angle_alpha 90.00
_cell_angle_beta 90.00
_cell_angle_gamma 90.00
_space_group_name_H-M_alt 'I -4 m 2'
_space_group_IT_number 119
_space_group_name_Hall 'I -4 -2'
loop_
_atom_site_label
_atom_site_fract_x
_atom_site_fract_y
_atom_site_fract_z
_atom_site_occupancy
Ho1 0.000 0.000 0.000 1
Ti1 0.000 0.500 0.750 1
Be1 0.000 0.500 0.250 1
Ir1 0.000 0.000 0.384 1

Record 2
# PBE Ho3ThRu3, optimized geometry
# Total DFT energy (no corrections) (eV for the cell shown): -156.227
# Offset from the most stable computed form (kJ/mol of formula units): 0.0
# Energy of formation from the pure elements (kJ per mole of atoms): -42.66
data_Ho3ThRu3
_chemical_formula_sum 'Ho9 Th3 Ru9'
_cell_length_a 9.4959
_cell_length_b 9.4959
_cell_length_c 6.0006
_cell_angle_alpha 90.00
_cell_angle_beta 90.00
_cell_angle_gamma 120.00
_space_group_name_H-M_alt 'R 3 m'
_space_group_IT_number 160
_space_group_name_Hall 'R 3 -2"'
loop_
_atom_site_label
_atom_site_fract_x
_atom_site_fract_y
_atom_site_fract_z
_atom_site_occupancy
Ho1 0.0603 0.5302 0.0000 1
Th1 0.0000 0.0000 0.8802 1
Ru1 0.0062 0.5031 0.4692 1

Record 3
# PBE Hf4BeC, optimized geometry
# Total DFT energy (no corrections) (eV for the cell shown): -213.234
# Energy of formation from the pure elements (kJ per mole of atoms): -8.76
data_Hf4BeC
_chemical_formula_sum 'Hf16 Be4 C4'
_cell_length_a 7.911
_cell_length_b 7.911
_cell_length_c 7.004
_cell_angle_alpha 90.00
_cell_angle_beta 90.00
_cell_angle_gamma 90.00
_space_group_name_H-M_alt 'I 41 m d'
_space_group_IT_number 109
_space_group_name_Hall 'I 4bw -2'
loop_
_atom_site_label
_atom_site_fract_x
_atom_site_fract_y
_atom_site_fract_z
_atom_site_occupancy
Hf1 0.000 0.196 0.000 1
Hf2 0.000 0.210 0.461 1
Be1 0.000 0.000 0.722 1
C1 0.000 0.000 0.239 1

Record 4
# PBE BeNbSCl2, optimized geometry
# Total DFT energy (no corrections) (eV for the cell shown): -21.758
# Offset from the most stable computed form (kJ/mol of formula units): 0.0
# Formation energy without anion corrections (kcal/mol of atoms): -0.65
data_BeNbSCl2
_chemical_formula_sum 'Be1 Nb1 S1 Cl2'
_cell_length_a 4.218
_cell_length_b 4.218
_cell_length_c 5.026
_cell_angle_alpha 90.00
_cell_angle_beta 90.00
_cell_angle_gamma 90.00
_space_group_name_H-M_alt 'P 4/m m m'
_space_group_IT_number 123
_space_group_name_Hall '-P 4 2'
loop_
_atom_site_label
_atom_site_fract_x
_atom_site_fract_y
_atom_site_fract_z
_atom_site_occupancy
Be1 0.000 0.000 0.000 1
Nb1 0.500 0.500 0.500 1
S1 0.000 0.000 0.500 1
Cl1 0.000 0.500 0.000 1

| no. | V (Å³ per cell) |
| --- | --- |
| 1 | 172.0 |
| 2 | 468.6 |
| 3 | 438.4 |
| 4 | 89.4 |